(1)
A relaxed structure of VTcNiPt. Source: Alexandria via LeMat-Bulk, functional PBE-GGA.

POSCAR file:
```
VTcNiPt
1.0
-3.189 -0.051 2.808
0.767 -0.955 4.069
-0.258 3.021 2.977
Ni Tc Pt V
1 1 1 1
Cartesian
-1.340 1.007 4.927 Ni
-2.009 1.511 7.391 Tc
-0.670 0.504 2.464 Pt
0.000 0.000 0.000 V
```

SG: F-43m (216)
E_form: -0.18 eV per atom
volume: 13.564 Å³/atom
density of states at the Fermi level: 1.1526 states/eV per atom
magnetization: 0.00 Bohr magnetons per cell

***

(2)
A relaxed structure of V2TcNiPt. Source: Alexandria via LeMat-Bulk, functional PBE-GGA.

POSCAR file:
```
V2TcNiPt
1.0
4.206 0.000 0.000
0.000 4.521 0.000
0.000 0.000 4.206
Ni Tc Pt V
1 1 1 2
Cartesian
0.000 0.000 0.000 Ni
2.103 2.261 2.103 Tc
0.000 2.261 0.000 Pt
0.000 0.000 2.103 V
2.103 0.000 0.000 V
```

SG: P4/mmm (123)
E_form: 0.95 eV per atom
volume: 15.999 Å³/atom
density of states at the Fermi level: 1.5897 states/eV per atom
magnetization: 0.00 Bohr magnetons per cell

***

(3)
A relaxed structure of Zn2TcNiPt. Source: Alexandria via LeMat-Bulk, functional PBE-GGA.

POSCAR file:
```
Zn2TcNiPt
1.0
-1.413 -2.697 3.543
3.634 -2.838 -0.710
2.566 2.545 2.960
Ni Zn Tc Pt
1 2 1 1
Cartesian
1.817 -1.419 -0.355 Ni
1.283 1.272 1.480 Zn
-0.707 -1.348 1.772 Zn
2.393 -1.495 2.897 Tc
0.000 0.000 0.000 Pt
```

SG: P4/mmm (123)
E_form: 1.02 eV per atom
volume: 20.364 Å³/atom
density of states at the Fermi level: 1.1133 states/eV per atom
magnetization: 4.22 Bohr magnetons per cell

***

(4)
A relaxed structure of NiTe2Pt. Source: Alexandria via LeMat-Bulk, functional PBE-GGA.

POSCAR file:
```
NiTe2Pt
1.0
-1.670 -2.849 0.685
2.635 -1.802 -1.068
2.551 0.013 6.273
Ni Pt Te
1 1 2
Cartesian
1.120 -2.322 1.377 Ni
2.396 -2.316 4.513 Pt
0.030 0.000 0.075 Te
1.245 0.006 3.062 Te
```

SG: P4/mmm (123)
formation energy without anion corrections: 0.2144 eV/atom
energy above the most stable polymorph in this dataset: 0.4540 eV/atom
volume: 19.221 Å³/atom
density of states at the Fermi level: 0.4631 states/eV per atom
magnetization: 0.00 Bohr magnetons per cell

***

(5)
A relaxed structure of Ni2TePt. Source: Alexandria via LeMat-Bulk, functional PBE-GGA.

POSCAR file:
```
Ni2TePt
1.0
5.293 -0.036 -0.023
3.859 3.623 -0.023
3.859 1.513 3.293
Ni Pt Te
2 1 1
Cartesian
12.712 4.983 3.173 Ni
3.440 1.348 0.858 Ni
6.762 2.651 1.688 Pt
9.615 3.769 2.400 Te
```

SG: R3m (160)
formation energy without anion corrections: 0.0986 eV/atom
energy above the most stable polymorph in this dataset: 0.0762 eV/atom
volume: 15.994 Å³/atom
density of states at the Fermi level: 0.7415 states/eV per atom
magnetization: 0.00 Bohr magnetons per cell

***

(6)
A relaxed structure of Ni4TePt. Source: Alexandria via LeMat-Bulk, functional PBE-GGA.

POSCAR file:
```
Ni4TePt
1.0
-0.691 -4.674 -1.116
-4.097 -2.235 1.338
-3.295 -1.235 -3.345
Ni Te Pt
4 1 1
Cartesian
-3.381 -5.384 -1.728 Ni
-4.675 -3.674 -2.837 Ni
-5.074 -4.171 -0.508 Ni
-3.037 -3.060 -1.173 Ni
0.000 0.000 0.000 Te
-6.063 -6.108 -2.343 Pt
```

SG: F-43m (216)
formation energy without anion corrections: 0.1232 eV/atom
volume: 13.486 Å³/atom
density of states at the Fermi level: 1.0145 states/eV per atom
magnetization: 0.00 Bohr magnetons per cell

***

(7)
A relaxed structure of Ni5Te12Pt. Source: Alexandria via LeMat-Bulk, functional PBE-GGA.

POSCAR file:
```
Ni5Te12Pt
1.0
-2.580 5.261 -3.349
-5.522 -0.802 -3.806
-5.490 0.656 9.847
Ni Te Pt
5 12 1
Cartesian
-4.035 2.958 3.249 Ni
-6.854 0.673 1.830 Ni
-6.739 4.442 0.863 Ni
-5.400 2.974 -4.769 Ni
-2.702 1.485 -2.385 Ni
-4.150 4.431 1.105 Te
-3.921 1.486 5.393 Te
-6.401 3.794 6.601 Te
-7.191 1.321 -3.909 Te
-9.218 1.659 5.141 Te
-4.382 -0.226 -1.427 Te
-9.210 5.341 4.120 Te
-4.375 3.457 -2.448 Te
-6.625 2.981 3.014 Te
-9.333 4.462 0.626 Te
-4.260 0.653 2.066 Te
-6.967 2.134 -0.322 Te
0.000 0.000 0.000 Pt
```

SG: C2/m (12)
formation energy without anion corrections: -0.2371 eV/atom
volume: 24.265 Å³/atom
density of states at the Fermi level: 0.5275 states/eV per atom
magnetization: 0.00 Bohr magnetons per cell

***

(8)
A relaxed structure of NiTePt2. Source: Alexandria via LeMat-Bulk, functional PBE-GGA.

POSCAR file:
```
NiTePt2
1.0
-0.702 0.098 -4.239
1.177 -2.846 -2.998
-3.986 -2.948 -0.961
Ni Pt Te
1 2 1
Cartesian
-0.850 -1.407 -2.053 Ni
0.322 -2.840 -7.224 Pt
-2.649 -4.285 -6.155 Pt
-1.614 -2.759 -4.103 Te
```

SG: Cm (8)
formation energy without anion corrections: 0.0548 eV/atom
energy above the most stable polymorph in this dataset: 0.0737 eV/atom
volume: 17.093 Å³/atom
density of states at the Fermi level: 0.6084 states/eV per atom
magnetization: 0.00 Bohr magnetons per cell

***

(9)
A relaxed structure of NiTePt4. Source: Alexandria via LeMat-Bulk, functional PBE-GGA.

POSCAR file:
```
NiTePt4
1.0
0.000 3.755 3.755
3.755 0.000 3.755
3.755 3.755 0.000
Ni Te Pt
1 1 4
Cartesian
0.000 0.000 0.000 Ni
5.633 5.633 5.633 Te
2.813 4.698 4.698 Pt
4.698 4.698 2.813 Pt
4.698 2.813 4.698 Pt
2.813 2.813 2.813 Pt
```

SG: F-43m (216)
formation energy without anion corrections: 0.2859 eV/atom
volume: 17.653 Å³/atom
density of states at the Fermi level: 1.4966 states/eV per atom
magnetization: 0.94 Bohr magnetons per cell

***

(10)
A relaxed structure of NiTe2Pt. Source: Alexandria via LeMat-Bulk, functional PBE-GGA.

POSCAR file:
```
NiTe2Pt
1.0
3.951 -0.357 -0.207
2.309 3.226 -0.207
0.536 0.246 6.881
Ni Pt Te
1 1 2
Cartesian
4.069 1.865 1.565 Ni
2.076 0.951 3.064 Pt
6.085 2.789 0.420 Te
4.225 1.937 4.237 Te
```

SG: Cm (8)
formation energy without anion corrections: -0.2090 eV/atom
energy above the most stable polymorph in this dataset: 0.0306 eV/atom
volume: 23.462 Å³/atom
density of states at the Fermi level: 0.7713 states/eV per atom
magnetization: 0.00 Bohr magnetons per cell

***

(11)
A relaxed structure of Ni2TePt. Source: Alexandria via LeMat-Bulk, functional PBE-GGA.

POSCAR file:
```
Ni2TePt
1.0
-1.719 2.233 3.024
1.843 -1.625 2.248
3.136 2.981 -0.419
Ni Pt Te
2 1 1
Cartesian
3.184 2.605 -0.113 Ni
0.279 1.776 1.672 Ni
2.505 0.270 1.225 Pt
2.919 2.599 2.565 Te
```

SG: Pmm2 (25)
formation energy without anion corrections: 0.0223 eV/atom
energy above the most stable polymorph in this dataset: 0.0000 eV/atom
volume: 14.961 Å³/atom
density of states at the Fermi level: 0.9687 states/eV per atom
magnetization: 0.00 Bohr magnetons per cell

***

(12)
A relaxed structure of NiTe2Pt. Source: Alexandria via LeMat-Bulk, functional PBE-GGA.

POSCAR file:
```
NiTe2Pt
1.0
0.000 3.386 3.386
3.386 0.000 3.386
3.386 3.386 0.000
Ni Te Pt
1 2 1
Cartesian
0.000 0.000 0.000 Ni
1.693 1.693 1.693 Te
5.080 5.080 5.080 Te
3.386 3.386 3.386 Pt
```

SG: Fm-3m (225)
formation energy without anion corrections: 0.2251 eV/atom
energy above the most stable polymorph in this dataset: 0.4647 eV/atom
volume: 19.416 Å³/atom
density of states at the Fermi level: 0.6864 states/eV per atom
magnetization: 0.00 Bohr magnetons per cell

***

(13)
A relaxed structure of NiTe4Pt. Source: Alexandria via LeMat-Bulk, functional PBE-GGA.

POSCAR file:
```
NiTe4Pt
1.0
3.083 -2.710 4.515
-2.861 -3.863 3.759
1.195 -5.978 -0.280
Ni Te Pt
1 4 1
Cartesian
1.062 -9.413 5.996 Ni
2.079 -6.061 5.261 Te
1.131 -7.702 2.852 Te
-0.907 -6.640 4.881 Te
0.530 -4.699 2.993 Te
0.000 0.000 0.000 Pt
```

SG: F-43m (216)
formation energy without anion corrections: 1.1413 eV/atom
energy above the most stable polymorph in this dataset: 1.4457 eV/atom
volume: 26.783 Å³/atom
density of states at the Fermi level: 2.1748 states/eV per atom
magnetization: 0.81 Bohr magnetons per cell

***

(14)
A relaxed structure of NiTe8Pt3. Source: Alexandria via LeMat-Bulk, functional PBE-GGA.

POSCAR file:
```
NiTe8Pt3
1.0
7.984 -0.687 -1.185
-3.972 6.464 -2.819
-1.088 -0.312 6.557
Ni Te Pt
1 8 3
Cartesian
0.000 0.000 0.000 Ni
-1.307 3.116 3.106 Te
4.231 2.349 -0.552 Te
0.631 -0.129 4.571 Te
4.724 -0.492 3.925 Te
2.695 2.849 2.509 Te
0.230 2.616 0.044 Te
-1.799 5.957 -1.372 Te
2.294 5.594 -2.018 Te
3.992 -0.344 -0.592 Pt
2.006 2.888 -2.002 Pt
-1.986 3.232 -1.409 Pt
```

SG: P-1 (2)
formation energy without anion corrections: -0.3505 eV/atom
volume: 25.133 Å³/atom
density of states at the Fermi level: 0.5080 states/eV per atom
magnetization: 0.00 Bohr magnetons per cell

***

(15)
A relaxed structure of NiTe2Pt. Source: Alexandria via LeMat-Bulk, functional PBE-GGA.

POSCAR file:
```
NiTe2Pt
1.0
4.704 0.003 0.006
-4.266 5.849 -0.020
0.000 2.116 2.809
Ni Pt Te
1 1 2
Cartesian
0.219 2.926 -0.007 Ni
2.352 1.059 1.408 Pt
0.000 0.000 0.000 Te
-2.133 3.983 1.395 Te
```

SG: C2/m (12)
formation energy without anion corrections: 0.2030 eV/atom
energy above the most stable polymorph in this dataset: 0.4427 eV/atom
volume: 19.368 Å³/atom
density of states at the Fermi level: 0.4608 states/eV per atom
magnetization: 0.00 Bohr magnetons per cell

***

(16)
A relaxed structure of NiTePt2. Source: Alexandria via LeMat-Bulk, functional PBE-GGA.

POSCAR file:
```
NiTePt2
1.0
-3.707 -0.397 -2.954
-0.673 -1.393 -4.498
-1.172 -4.196 0.402
Ni Pt Te
1 2 1
Cartesian
-1.388 -1.496 -1.762 Ni
-4.385 -1.834 -7.435 Pt
-2.770 -2.949 -3.541 Pt
-4.163 -4.489 -5.287 Te
```

SG: C2/m (12)
formation energy without anion corrections: 0.0322 eV/atom
energy above the most stable polymorph in this dataset: 0.0512 eV/atom
volume: 16.577 Å³/atom
density of states at the Fermi level: 0.7323 states/eV per atom
magnetization: 0.00 Bohr magnetons per cell

***

(17)
A relaxed structure of NiTePt. Source: Alexandria via LeMat-Bulk, functional PBE-GGA.

POSCAR file:
```
NiTePt
1.0
4.687 -0.023 -0.013
1.971 4.253 0.013
-3.323 -2.124 2.533
Ni Pt Te
1 1 1
Cartesian
6.605 4.196 0.000 Ni
2.240 1.423 0.000 Pt
4.471 2.840 0.000 Te
```

SG: I4mm (107)
formation energy without anion corrections: 0.0236 eV/atom
volume: 16.866 Å³/atom
density of states at the Fermi level: 0.5645 states/eV per atom
magnetization: 0.00 Bohr magnetons per cell

***

(18)
A relaxed structure of NiTe2Pt. Source: Alexandria via LeMat-Bulk, functional PBE-GGA.

POSCAR file:
```
NiTe2Pt
1.0
6.543 0.025 0.009
4.442 4.804 -0.009
-5.333 -2.777 2.580
Ni Pt Te
1 1 2
Cartesian
5.654 2.485 0.000 Ni
3.024 2.538 1.286 Pt
10.685 4.696 0.000 Te
2.767 -0.426 1.294 Te
```

SG: Imm2 (44)
formation energy without anion corrections: 0.0633 eV/atom
energy above the most stable polymorph in this dataset: 0.3029 eV/atom
volume: 20.187 Å³/atom
density of states at the Fermi level: 0.6806 states/eV per atom
magnetization: 0.00 Bohr magnetons per cell

***

(19)
A relaxed structure of NiTePt2. Source: Alexandria via LeMat-Bulk, functional PBE-GGA.

POSCAR file:
```
NiTePt2
1.0
-1.535 0.948 5.477
-0.464 -2.805 5.017
2.275 -0.001 5.299
Ni Pt Te
1 2 1
Cartesian
0.207 -1.394 11.845 Ni
0.005 -0.033 0.284 Pt
0.133 -0.896 7.613 Pt
0.069 -0.465 3.948 Te
```

SG: R-3m (166)
formation energy without anion corrections: 0.0086 eV/atom
energy above the most stable polymorph in this dataset: 0.0275 eV/atom
volume: 17.729 Å³/atom
density of states at the Fermi level: 0.8177 states/eV per atom
magnetization: 0.00 Bohr magnetons per cell

***

(20)
A relaxed structure of Ni2TePt. Source: Alexandria via LeMat-Bulk, functional PBE-GGA.

POSCAR file:
```
Ni2TePt
1.0
4.409 0.000 0.000
2.205 3.819 0.000
2.205 1.273 3.600
Ni Pt Te
2 1 1
Cartesian
0.000 0.000 0.000 Ni
2.205 1.273 0.900 Ni
4.409 2.546 1.800 Pt
6.614 3.819 2.700 Te
```

SG: F-43m (216)
formation energy without anion corrections: 0.1050 eV/atom
energy above the most stable polymorph in this dataset: 0.0827 eV/atom
volume: 15.154 Å³/atom
density of states at the Fermi level: 0.7349 states/eV per atom
magnetization: 0.00 Bohr magnetons per cell